DFT (PBE-GGA) results for a relaxed structure of KLaTl2Pt.

Cell lengths 5.6658, 5.6658, 5.3740 Å; angles 90.00, 90.00, 90.00 degrees
Last column: nearest neighbours and their distance in Å.
Element x y z (fractional)
K 0.0000 0.0000 0.0000  8 Tl 3.90, 4 La 4.01
La 0.5000 0.5000 0.0000  2 Pt 2.69
Tl 0.0000 0.5000 0.5000  2 Pt 2.83
Tl 0.5000 0.0000 0.5000  2 Pt 2.83
Pt 0.5000 0.5000 0.5000  2 La 2.69, 4 Tl 2.83

Computed properties:
Symmetry: P4/mmm, No. 123
Energy of formation from the pure elements, meV per atom: -209.2
Energy, eV/atom: -3.57